Material: U2SbOs
Method: DFT, PBE
State: optimized geometry

Structure (POSCAR):
```
U2SbOs
1.0
3.789 0.000 0.000
0.000 3.789 0.000
0.000 0.000 5.934
Os U Sb
1 2 1
direct
0.500 0.500 0.000
0.000 0.000 0.787
0.000 0.000 0.213
0.500 0.500 0.500
```

Density ... 15.36 g cm⁻³
D(E_F) ... 7.2 states/eV/f.u.
Final energy ... -9.554 eV/atom

Material: Pa6GaN12
Method: DFT, PBE
State: optimized geometry

Structure (POSCAR):
```
Pa6GaN12
1.0
-2.081 -4.056 4.730
2.542 -4.421 -4.140
5.544 2.134 2.802
Pa Ga N
6 1 12
direct
0.137 0.291 0.598
0.709 0.402 0.863
0.402 0.863 0.709
0.863 0.709 0.402
0.291 0.598 0.137
0.598 0.137 0.291
0.000 0.000 0.000
0.438 0.176 0.594
0.176 0.594 0.438
0.594 0.438 0.176
0.562 0.824 0.406
0.824 0.406 0.562
0.406 0.562 0.824
0.066 0.943 0.686
0.314 0.934 0.057
0.057 0.314 0.934
0.934 0.057 0.314
0.686 0.066 0.943
0.943 0.686 0.066
```

Density ... 9.95 g cm⁻³
D(E_F) ... 14.1 states/eV/f.u.
Final energy ... -9.654 eV/atom

Material: Fe3Ir
Method: DFT, PBE
State: optimized geometry

Structure (POSCAR):
```
Fe3Ir
1.0
4.589 0.000 0.000
0.000 8.493 0.000
0.000 0.000 5.161
Ir Fe
4 12
direct
0.934 0.250 0.374
0.566 0.750 0.874
0.434 0.250 0.126
0.066 0.750 0.626
0.934 0.250 0.869
0.566 0.750 0.369
0.434 0.250 0.631
0.066 0.750 0.131
0.252 0.999 0.377
0.248 0.001 0.877
0.752 0.501 0.123
0.748 0.499 0.623
0.748 0.001 0.623
0.752 0.999 0.123
0.248 0.499 0.877
0.252 0.501 0.377
```

Density ... 11.88 g cm⁻³
D(E_F) ... 6.3 states/eV/f.u.
Final energy ... -8.500 eV/atom

Material: Ti3Mo
Method: DFT, PBE
State: optimized geometry

Structure (POSCAR):
```
Ti3Mo
1.0
4.056 0.000 0.000
0.000 4.056 0.000
0.000 0.000 4.056
Mo Ti
1 3
direct
0.000 0.000 0.000
0.000 0.500 0.500
0.500 0.000 0.500
0.500 0.500 0.000
```

Density ... 5.96 g cm⁻³
D(E_F) ... 7.8 states/eV/f.u.
Final energy ... -8.522 eV/atom

Material: Ca3AcTl3
Method: DFT, PBE
State: optimized geometry

Structure (POSCAR):
```
Ca3AcTl3
1.0
8.403 0.000 0.000
0.000 8.403 0.000
0.000 0.000 8.403
Ac Ca Tl
2 6 6
direct
0.500 0.500 0.500
0.000 0.000 0.000
0.000 0.250 0.500
0.000 0.750 0.500
0.500 0.000 0.750
0.750 0.500 0.000
0.500 0.000 0.250
0.250 0.500 0.000
0.250 0.000 0.500
0.000 0.500 0.250
0.500 0.750 0.000
0.750 0.000 0.500
0.000 0.500 0.750
0.500 0.250 0.000
```

Density ... 5.38 g cm⁻³
D(E_F) ... 6.3 states/eV/f.u.
Final energy ... -2.247 eV/atom

Material: GdTmHgOs
Method: DFT, PBE
State: optimized geometry

Structure (POSCAR):
```
GdTmHgOs
1.0
-2.560 -3.721 -2.160
1.151 -1.462 -4.648
2.193 -4.437 -0.758
Gd Tm Os Hg
1 1 1 1
direct
0.000 0.000 0.000
0.500 0.500 0.500
0.250 0.250 0.250
0.750 0.750 0.750
```

Density ... 13.42 g cm⁻³
D(E_F) ... 3.2 states/eV/f.u.
Final energy ... -7.777 eV/atom

Material: K2LiZn3Sn4
Method: DFT, PBE
State: optimized geometry

Structure (POSCAR):
```
K2LiZn3Sn4
1.0
-0.909 -4.186 1.930
1.948 1.434 4.027
-10.486 3.965 3.660
K Li Zn Sn
2 1 3 4
direct
0.500 0.000 0.254
0.000 0.500 0.746
0.500 0.500 0.500
0.000 0.000 0.500
0.500 0.000 0.857
0.000 0.500 0.143
0.500 0.500 0.000
0.000 0.000 0.000
0.500 0.000 0.628
0.000 0.500 0.372
```

Density ... 4.82 g cm⁻³
D(E_F) ... 4.2 states/eV/f.u.
Final energy ... -2.531 eV/atom

Material: La3URu4
Method: DFT, PBE
State: optimized geometry

Structure (POSCAR):
```
La3URu4
1.0
6.369 -0.316 0.756
-3.412 5.388 -0.756
-2.079 -2.186 5.669
La U Ru
3 1 4
direct
0.570 0.254 0.824
0.938 0.000 0.938
0.570 0.746 0.317
0.048 0.500 0.548
0.213 0.735 0.947
0.213 0.265 0.478
0.557 0.258 0.300
0.042 0.742 0.300
```

Density ... 9.18 g cm⁻³
D(E_F) ... 6.4 states/eV/f.u.
Final energy ... -8.090 eV/atom